Entry from Alexandria via LeMat-Bulk: a relaxed SrPbCl2 crystal (GGA-PBE).

magnetic moment = 6.9 μB per cell
energy above the most stable polymorph in this dataset = 280 kJ/mol of formula units
formation energy without anion corrections = -0.74 eV/atom
space-group type = F-43m (216)

Cell lengths 7.816, 7.816, 7.816 Å; angles 90.00, 90.00, 90.00 degrees
Atoms (fractional coordinates):
1 Sr 0.000 0.000 0.000
2 Sr 0.000 0.500 0.500
3 Sr 0.500 0.000 0.500
4 Sr 0.500 0.500 0.000
5 Pb 0.250 0.250 0.250
6 Pb 0.250 0.750 0.750
7 Pb 0.750 0.250 0.750
8 Pb 0.750 0.750 0.250
9 Cl 0.000 0.000 0.500
10 Cl 0.000 0.500 0.000
11 Cl 0.250 0.250 0.750
12 Cl 0.250 0.750 0.250
13 Cl 0.500 0.000 0.000
14 Cl 0.500 0.500 0.500
15 Cl 0.750 0.250 0.250
16 Cl 0.750 0.750 0.750